The following is a PBE calculation of a geometry-optimized LiPm2NdS4 structure, from Alexandria via LeMat-Bulk.

a = 6.938 Å, b = 4.012 Å, c = 6.938 Å
α = 90.00°, β = 109.45°, γ = 90.00°
Fractional coordinates of all 8 atoms:
1 Li 0.000 0.000 0.000
2 Pm 0.000 0.500 0.500
3 Pm 0.500 0.000 0.500
4 Nd 0.500 0.500 0.000
5 S 0.243 0.000 0.753
6 S 0.243 0.500 0.245
7 S 0.757 0.000 0.247
8 S 0.757 0.500 0.755

Properties
- Final energy: -48.1 eV/cell
- DOS(E_F): 0.334 states/eV per atom
- Formation energy (no corrections): -1.9215 eV/atom
- Magnetization: 0.00 Bohr magnetons per cell

=====

The following is a PBE calculation of a geometry-optimized AcThNiAu structure, from Alexandria via LeMat-Bulk.

a = 5.260 Å, b = 5.260 Å, c = 5.260 Å
α = 60.00°, β = 60.00°, γ = 60.00°
Fractional coordinates of all 4 atoms:
1 Ac 0.000 0.000 0.000
2 Th 0.500 0.500 0.500
3 Ni 0.250 0.250 0.250
4 Au 0.750 0.750 0.750

Properties
- Final energy: -21.9 eV/cell
- ΔH_f (0 K): -0.320 eV per atom
- DOS(E_F): 1.004 states/eV per atom
- Magnetization: 0.00 Bohr magnetons per cell

=====

The following is a PBE calculation of a geometry-optimized TlAgMo2 structure, from Alexandria via LeMat-Bulk.

a = 9.835 Å, b = 9.835 Å, c = 9.835 Å
α = 17.18°, β = 17.18°, γ = 17.18°
Fractional coordinates of all 4 atoms:
1 Tl 0.000 0.000 0.000
2 Ag 0.500 0.500 0.500
3 Mo 0.248 0.248 0.248
4 Mo 0.752 0.752 0.752

Properties
- Final energy: -23.7 eV/cell
- ΔH_f (0 K): 0.807 eV per atom
- DOS(E_F): 1.236 states/eV per atom
- Magnetization: 0.00 Bohr magnetons per cell
- Relative energy among the computed polymorphs: 0.365 eV/atom